Below is a geometry-optimized SrTlF2 structure, with properties calculated at the GGA-PBE level. Values from VASP.

Calculated values
E_form (uncorrected): -2711.9 meV/atom
VASP energy: -18.64 eV/cell
Spin magnetization: 0.000 μB/atom
Theoretical density: 5.31 g/cm³

Geometry as Quantum ESPRESSO input:
```
&SYSTEM
  ibrav = 0, nat = 4, ntyp = 3
/
ATOMIC_SPECIES
Sr 87.62 Sr.upf
Tl 204.38 Tl.upf
F 19.00 F.upf
CELL_PARAMETERS angstrom
-2.934 7.426 1.832
-2.945 5.561 5.246
0.335 7.182 3.926
ATOMIC_POSITIONS angstrom
Sr -2.772 10.084 5.502
Tl 0.000 0.000 0.000
F -4.847 17.631 9.620
F -0.698 2.537 1.384
```